(1)
Computed, not measured: a geometry-optimized Ce2Pm8Dy structure at the PBE-GGA level of DFT.

Summary:
space group: Immm (71)
spin magnetization: 1.53 μB per formula unit
energy of formation from the pure elements: 0.156 eV per atom

Cell lengths 5.612, 8.322, 9.440 Å; angles 116.16, 107.29, 90.00 degrees
Site moments in Bohr magnetons follow the coordinates.
Fractional coordinates of all 11 atoms:
Pm 0.361 0.567 0.722  0.01
Pm 0.000 0.297 0.000  0.00
Pm 0.639 0.845 0.278  0.01
Pm 0.158 0.158 0.315  0.00
Pm 0.639 0.433 0.278  0.01
Pm 0.361 0.155 0.722  0.01
Pm 0.000 0.703 0.000  0.00
Pm 0.842 0.842 0.685  0.00
Ce 0.799 0.299 0.599  0.63
Ce 0.201 0.701 0.401  0.63
Dy 0.500 0.000 0.000  -0.04

=====

(2)
Computed, not measured: a geometry-optimized LiLaRe2 structure at the PBE-GGA level of DFT.

Summary:
space group: I4/mmm (139)
spin magnetization: 0.00 μB per formula unit
energy of formation from the pure elements: 0.641 eV per atom

Cell lengths 5.639, 5.639, 5.639 Å; angles 139.92, 139.92, 57.97 degrees
Fractional coordinates of all 4 atoms:
La 0.250 0.750 0.500
Li 0.750 0.250 0.500
Re 0.000 0.000 0.000
Re 0.500 0.500 0.000

=====

(3)
Computed, not measured: a geometry-optimized La4ZnIn3 structure at the PBE-GGA level of DFT.

Summary:
space group: P4/mmm (123)
spin magnetization: 0.00 μB per formula unit
energy of formation from the pure elements: -0.466 eV per atom

Cell lengths 3.824, 3.824, 16.324 Å; angles 90.00, 90.00, 90.00 degrees
Fractional coordinates of all 8 atoms:
In 0.500 0.500 0.238
In 0.500 0.500 0.762
In 0.500 0.500 0.500
Zn 0.500 0.500 0.000
La 0.000 0.000 0.110
La 0.000 0.000 0.630
La 0.000 0.000 0.370
La 0.000 0.000 0.890